## BeTl2Zn (PBEsol)

Data for BeTl2Zn after structural relaxation.

The structure in CIF format:
```
data_BeTl2Zn
_chemical_formula_sum 'Be3 Tl6 Zn3'
_cell_length_a 3.3377
_cell_length_b 3.3377
_cell_length_c 25.0381
_cell_angle_alpha 90.00
_cell_angle_beta 90.00
_cell_angle_gamma 120.00
_symmetry_space_group_name_H-M 'R 3 m'
_symmetry_Int_Tables_number 160
_symmetry_space_group_name_Hall 'R 3 -2"'
loop_
_atom_site_label
_atom_site_type_symbol
_atom_site_fract_x
_atom_site_fract_y
_atom_site_fract_z
Be1 Be 0.0000 0.0000 0.0000
Tl1 Tl 0.0000 0.0000 0.5199
Tl2 Tl 0.0000 0.0000 0.7432
Zn1 Zn 0.0000 0.0000 0.2781
```

Summary:
Its energy above the most stable polymorph in this dataset is 0.0696 eV/atom.

***

## ZrBeTl2 (PBEsol)

Data for ZrBeTl2 after structural relaxation.

The structure in CIF format:
```
data_ZrBeTl2
_chemical_formula_sum 'Zr4 Be4 Tl8'
_cell_length_a 6.8996
_cell_length_b 6.8996
_cell_length_c 6.8996
_cell_angle_alpha 90.00
_cell_angle_beta 90.00
_cell_angle_gamma 90.00
_symmetry_space_group_name_H-M 'F m -3 m'
_symmetry_Int_Tables_number 225
_symmetry_space_group_name_Hall '-F 4 2 3'
loop_
_atom_site_label
_atom_site_type_symbol
_atom_site_fract_x
_atom_site_fract_y
_atom_site_fract_z
Zr1 Zr 0.0000 0.0000 0.0000
Be1 Be 0.0000 0.0000 0.5000
Tl1 Tl 0.2500 0.2500 0.2500
```

Summary:
Its energy above the most stable polymorph in this dataset is 0.1857 eV/atom.

***

Number 1: electronic total energy -2.320 eV per atom, Fermi-level density of states 1.256 states/eV/f.u., E_form 0.390 eV per atom. Number 2: electronic total energy -4.074 eV per atom, Fermi-level density of states 3.360 states/eV/f.u., E_form 0.514 eV per atom.